Material: Dy2MgC
Method: DFT, PBE
State: relaxed Values from VASP.

Results
formation energy	-14	meV/atom

Cell and atoms, written as Quantum ESPRESSO input:
```
&SYSTEM
  ibrav = 0, nat = 16, ntyp = 3
/
ATOMIC_SPECIES
Dy 162.50 Dy.upf
Mg 24.30 Mg.upf
C 12.01 C.upf
ATOMIC_POSITIONS crystal
Dy 0.2500 0.1026 0.0000
Dy 0.2500 0.3974 0.5000
Dy 0.2500 0.7474 0.7531
Dy 0.2500 0.7526 0.2531
Dy 0.7500 0.2474 0.2531
Dy 0.7500 0.2526 0.7531
Dy 0.7500 0.6026 0.5000
Dy 0.7500 0.8974 0.0000
Mg 0.2500 0.0776 0.5036
Mg 0.2500 0.4224 0.0036
Mg 0.7500 0.5776 0.0036
Mg 0.7500 0.9224 0.5036
C 0.2500 0.6180 0.5004
C 0.2500 0.8820 0.0004
C 0.7500 0.1180 0.0004
C 0.7500 0.3820 0.5004
CELL_PARAMETERS angstrom
5.0941 0.0000 0.0000
0.0000 10.4702 0.0000
0.0000 0.0000 7.4783
```



Material: SrAg6Au6
Method: DFT, PBE
State: relaxed Values from VASP.

Results
excess energy over the best structure of this formula in the dataset	0.037	eV per atom
formation energy	-147	meV/atom

Cell and atoms, written as Quantum ESPRESSO input:
```
&SYSTEM
  ibrav = 0, nat = 13, ntyp = 3
/
ATOMIC_SPECIES
Sr 87.62 Sr.upf
Ag 107.87 Ag.upf
Au 196.97 Au.upf
ATOMIC_POSITIONS crystal
Sr 0.0000 0.0000 0.0000
Ag 0.0000 0.0000 0.5000
Ag 0.0000 0.5000 0.0000
Ag 0.2230 0.5000 0.7230
Ag 0.5000 0.0000 0.0000
Ag 0.5000 0.5000 0.5000
Ag 0.7770 0.5000 0.2770
Au 0.2158 0.7158 0.5000
Au 0.3470 0.0000 0.3470
Au 0.3489 0.3489 0.0000
Au 0.6511 0.6511 0.0000
Au 0.6530 0.0000 0.6530
Au 0.7842 0.2842 0.5000
CELL_PARAMETERS angstrom
-2.8348 4.7738 4.7842
2.8348 -4.7738 4.7842
2.8348 4.7738 -4.7842
```



Material: TcPIr3
Method: DFT, PBE
State: relaxed Values from VASP.

Results
excess energy over the best structure of this formula in the dataset	0.000	eV per atom
formation energy	857	meV/atom

Cell and atoms, written as Quantum ESPRESSO input:
```
&SYSTEM
  ibrav = 0, nat = 5, ntyp = 3
/
ATOMIC_SPECIES
Tc 98.00 Tc.upf
P 30.97 P.upf
Ir 192.22 Ir.upf
ATOMIC_POSITIONS crystal
Tc 0.0000 0.0000 0.0000
P 0.5000 0.5000 0.5000
Ir 0.0000 0.5000 0.5000
Ir 0.5000 0.0000 0.5000
Ir 0.5000 0.5000 0.0000
CELL_PARAMETERS angstrom
4.4086 0.0000 0.0000
0.0000 4.4086 0.0000
0.0000 0.0000 4.4086
```



Material: Fe2HgAs
Method: DFT, PBE
State: relaxed Values from VASP.

Results
excess energy over the best structure of this formula in the dataset	0.095	eV per atom
formation energy	259	meV/atom

Cell and atoms, written as Quantum ESPRESSO input:
```
&SYSTEM
  ibrav = 0, nat = 12, ntyp = 3
/
ATOMIC_SPECIES
Fe 55.84 Fe.upf
Hg 200.59 Hg.upf
As 74.92 As.upf
ATOMIC_POSITIONS crystal
Fe 0.0000 0.0000 0.0000
Fe 0.0000 0.0000 0.2681
Fe 0.3333 0.6667 0.6667
Fe 0.3333 0.6667 0.9347
Fe 0.6667 0.3333 0.3333
Fe 0.6667 0.3333 0.6014
Hg 0.0000 0.0000 0.5136
Hg 0.3333 0.6667 0.1803
Hg 0.6667 0.3333 0.8469
As 0.0000 0.0000 0.7322
As 0.3333 0.6667 0.3989
As 0.6667 0.3333 0.0655
CELL_PARAMETERS angstrom
2.9809 0.0000 0.0000
-1.4905 2.5816 0.0000
0.0000 0.0000 26.4763
```



Material: FeCu3Br
Method: DFT, PBE
State: relaxed Values from VASP.

Results
excess energy over the best structure of this formula in the dataset	0.362	eV per atom
formation energy (no corrections)	1.357	eV/atom

Cell and atoms, written as Quantum ESPRESSO input:
```
&SYSTEM
  ibrav = 0, nat = 5, ntyp = 3
/
ATOMIC_SPECIES
Fe 55.84 Fe.upf
Cu 63.55 Cu.upf
Br 79.90 Br.upf
ATOMIC_POSITIONS crystal
Fe 0.0000 0.0000 0.0000
Cu 0.0000 0.5000 0.5000
Cu 0.5000 0.0000 0.5000
Cu 0.5000 0.5000 0.0000
Br 0.5000 0.5000 0.5000
CELL_PARAMETERS angstrom
4.6260 0.0000 0.0000
0.0000 4.6260 0.0000
0.0000 0.0000 4.6260
```



Material: YInRu
Method: DFT, PBE
State: relaxed Values from VASP.

Results
formation energy	-354	meV/atom

Cell and atoms, written as Quantum ESPRESSO input:
```
&SYSTEM
  ibrav = 0, nat = 18, ntyp = 3
/
ATOMIC_SPECIES
Y 88.91 Y.upf
In 114.82 In.upf
Ru 101.07 Ru.upf
ATOMIC_POSITIONS crystal
Y 0.0382 0.2500 0.1190
Y 0.1540 0.2500 0.4158
Y 0.4575 0.7500 0.7864
Y 0.5425 0.2500 0.2136
Y 0.8460 0.7500 0.5842
Y 0.9618 0.7500 0.8810
In 0.1238 0.2500 0.7018
In 0.3559 0.7500 0.0410
In 0.4943 0.7500 0.4090
In 0.5057 0.2500 0.5910
In 0.6441 0.2500 0.9590
In 0.8762 0.7500 0.2982
Ru 0.2417 0.7500 0.2461
Ru 0.2507 0.2500 0.9084
Ru 0.2528 0.7500 0.5778
Ru 0.7472 0.2500 0.4222
Ru 0.7493 0.7500 0.0916
Ru 0.7583 0.2500 0.7539
CELL_PARAMETERS angstrom
7.3085 0.0000 0.0000
0.0000 4.1255 0.0000
-0.3708 0.0000 12.8155
```



Number 1: Fermi-level density of states 11.90 states/eV/cell, E -20.08 eV/f.u.. Number 2: Fermi-level density of states 3.25 states/eV/cell, E -40.37 eV/f.u.. Number 3: Fermi-level density of states 1.78 states/eV/cell, E -38.07 eV/f.u.. Number 4: Fermi-level density of states 8.41 states/eV/cell, E -20.84 eV/f.u.. Number 5: Fermi-level density of states 10.12 states/eV/cell, E -15.64 eV/f.u.. Number 6: Fermi-level density of states 9.80 states/eV/cell, E -19.54 eV/f.u..